Computed, not measured: a relaxed structure of TbSc2CdC at the PBE level of DFT.

- M_tot (Bohr magnetons per cell) = 0.0
- V (Å³/cell) = 104
- formation energy from the elements (kJ/mol of formula units) = -192
- calculated total energy (eV per atom) = -5.884
- crystal system = tetragonal

Cell: 4.5716 4.5716 4.9899 Å, 90.00 90.00 90.00°
With the nearest neighbours (Å) after each atom.
Space group P4/mmm (No. 123)
Inequivalent atoms, fractional coordinates:
Tb 0.0000 0.0000 0.0000  2 C 2.49
Sc 0.0000 0.5000 0.5000  2 C 2.29
Cd 0.5000 0.5000 0.0000  4 Tb 3.23, 8 Sc 3.38
C 0.0000 0.0000 0.5000  4 Sc 2.29, 2 Tb 2.49

Computed, not measured: a relaxed structure of ScCdTc2C at the PBE level of DFT.

- M_tot (Bohr magnetons per cell) = 0.0
- V (Å³/cell) = 76
- formation energy from the elements (kJ/mol of formula units) = -40
- calculated total energy (eV per atom) = -7.524
- crystal system = tetragonal

Cell: 4.1174 4.1174 4.4947 Å, 90.00 90.00 90.00°
With the nearest neighbours (Å) after each atom.
Space group P4/mmm (No. 123)
Inequivalent atoms, fractional coordinates:
Sc 0.0000 0.0000 0.0000  2 C 2.25
Cd 0.5000 0.5000 0.0000  4 Sc 2.91, 8 Tc 3.05
Tc 0.0000 0.5000 0.5000  2 C 2.06
C 0.0000 0.0000 0.5000  4 Tc 2.06, 2 Sc 2.25

Computed, not measured: a relaxed structure of Sc2CdTcC at the PBE level of DFT.

- M_tot (Bohr magnetons per cell) = 0.0
- energy above the lowest structure with this stoichiometry (eV per formula unit) = 0.00
- V (Å³/cell) = 85
- formation energy from the elements (kJ/mol of formula units) = -191
- calculated total energy (eV per atom) = -7.030
- crystal system = tetragonal

Cell: 4.5975 4.5975 4.0135 Å, 90.00 90.00 90.00°
With the nearest neighbours (Å) after each atom.
Space group P4/mmm (No. 123)
Inequivalent atoms, fractional coordinates:
Sc 0.0000 0.5000 0.0000  2 C 2.30
Cd 0.0000 0.0000 0.5000  8 Sc 3.05, 4 Tc 3.25
Tc 0.5000 0.5000 0.5000  2 C 2.01
C 0.5000 0.5000 0.0000  2 Tc 2.01

Computed, not measured: a relaxed structure of Sc2CdTcC at the PBE level of DFT.

- M_tot (Bohr magnetons per cell) = 0.0
- energy above the lowest structure with this stoichiometry (eV per formula unit) = 4.42
- V (Å³/cell) = 104
- formation energy from the elements (kJ/mol of formula units) = 235
- calculated total energy (eV per atom) = -6.146
- crystal system = tetragonal

Cell: 5.0798 5.0798 4.0302 Å, 90.00 90.00 90.00°
With the nearest neighbours (Å) after each atom.
Space group P4/mmm (No. 123)
Inequivalent atoms, fractional coordinates:
Sc 0.0000 0.5000 0.0000  2 Tc 2.54
Cd 0.0000 0.0000 0.5000  8 Sc 3.24, 4 C 3.59
Tc 0.5000 0.5000 0.0000  2 C 2.02
C 0.5000 0.5000 0.5000  2 Tc 2.02

Computed, not measured: a relaxed structure of ScTi2CdC at the PBE level of DFT.

- M_tot (Bohr magnetons per cell) = 0.0
- V (Å³/cell) = 82
- formation energy from the elements (kJ/mol of formula units) = -210
- calculated total energy (eV per atom) = -6.886
- crystal system = tetragonal

Cell: 4.2728 4.2728 4.4935 Å, 90.00 90.00 90.00°
With the nearest neighbours (Å) after each atom.
Space group P4/mmm (No. 123)
Inequivalent atoms, fractional coordinates:
Sc 0.0000 0.0000 0.0000  2 C 2.25
Ti 0.0000 0.5000 0.5000  2 C 2.14
Cd 0.5000 0.5000 0.0000  4 Sc 3.02, 8 Ti 3.10
C 0.0000 0.0000 0.5000  4 Ti 2.14, 2 Sc 2.25

Computed, not measured: a relaxed structure of TmSc2CdC at the PBE level of DFT.

- M_tot (Bohr magnetons per cell) = 0.0
- V (Å³/cell) = 102
- formation energy from the elements (kJ/mol of formula units) = -207
- calculated total energy (eV per atom) = -5.883
- crystal system = tetragonal

Cell: 4.5566 4.5566 4.8915 Å, 90.00 90.00 90.00°
With the nearest neighbours (Å) after each atom.
Space group P4/mmm (No. 123)
Inequivalent atoms, fractional coordinates:
Tm 0.0000 0.0000 0.0000  2 C 2.45
Sc 0.0000 0.5000 0.5000  2 C 2.28
Cd 0.5000 0.5000 0.0000  4 Tm 3.22, 8 Sc 3.34
C 0.0000 0.0000 0.5000  4 Sc 2.28, 2 Tm 2.45

Computed, not measured: a relaxed structure of Tm2ScCdC at the PBE level of DFT.

- M_tot (Bohr magnetons per cell) = 0.0
- V (Å³/cell) = 108
- formation energy from the elements (kJ/mol of formula units) = -193
- calculated total energy (eV per atom) = -5.483
- crystal system = tetragonal

Cell: 4.9022 4.9022 4.4761 Å, 90.00 90.00 90.00°
With the nearest neighbours (Å) after each atom.
Space group P4/mmm (No. 123)
Inequivalent atoms, fractional coordinates:
Tm 0.0000 0.5000 0.0000  2 C 2.45
Sc 0.0000 0.0000 0.5000  2 C 2.24
Cd 0.5000 0.5000 0.5000  8 Tm 3.32, 4 Sc 3.47
C 0.0000 0.0000 0.0000  2 Sc 2.24, 4 Tm 2.45

Computed, not measured: a relaxed structure of Sc2VCdC at the PBE level of DFT.

- M_tot (Bohr magnetons per cell) = 1.8
- V (Å³/cell) = 86
- formation energy from the elements (kJ/mol of formula units) = -166
- calculated total energy (eV per atom) = -6.728
- crystal system = tetragonal

Cell: 4.6172 4.6172 4.0287 Å, 90.00 90.00 90.00°
With the nearest neighbours (Å) after each atom.
Space group P4/mmm (No. 123)
Inequivalent atoms, fractional coordinates:
Sc 0.0000 0.5000 0.0000  2 C 2.31
V 0.0000 0.0000 0.5000  2 C 2.01
Cd 0.5000 0.5000 0.5000  8 Sc 3.06, 4 V 3.26
C 0.0000 0.0000 0.0000  2 V 2.01

Computed, not measured: a relaxed structure of Y2ScCdC at the PBE level of DFT.

- M_tot (Bohr magnetons per cell) = 0.0
- V (Å³/cell) = 112
- formation energy from the elements (kJ/mol of formula units) = -189
- calculated total energy (eV per atom) = -6.271
- crystal system = tetragonal

Cell: 5.0071 5.0071 4.4744 Å, 90.00 90.00 90.00°
With the nearest neighbours (Å) after each atom.
Space group P4/mmm (No. 123)
Inequivalent atoms, fractional coordinates:
Y 0.0000 0.5000 0.0000  2 C 2.50
Sc 0.0000 0.0000 0.5000  2 C 2.24
Cd 0.5000 0.5000 0.5000  8 Y 3.36, 4 Sc 3.54
C 0.0000 0.0000 0.0000  2 Sc 2.24, 4 Y 2.50

Computed, not measured: a relaxed structure of Zr2ScCdC at the PBE level of DFT.

- M_tot (Bohr magnetons per cell) = 0.0
- energy above the lowest structure with this stoichiometry (eV per formula unit) = 0.00
- V (Å³/cell) = 96
- formation energy from the elements (kJ/mol of formula units) = -219
- calculated total energy (eV per atom) = -7.167
- crystal system = tetragonal

Cell: 4.5916 4.5916 4.5379 Å, 90.00 90.00 90.00°
With the nearest neighbours (Å) after each atom.
Space group P4/mmm (No. 123)
Inequivalent atoms, fractional coordinates:
Zr 0.0000 0.5000 0.0000  2 C 2.30
Sc 0.0000 0.0000 0.5000  2 C 2.27
Cd 0.5000 0.5000 0.5000  8 Zr 3.23, 4 Sc 3.25
C 0.0000 0.0000 0.0000  2 Sc 2.27, 4 Zr 2.30

Computed, not measured: a relaxed structure of Zr2ScCdC at the PBE level of DFT.

- M_tot (Bohr magnetons per cell) = 0.9
- energy above the lowest structure with this stoichiometry (eV per formula unit) = 13.63
- V (Å³/cell) = 130
- formation energy from the elements (kJ/mol of formula units) = 1096
- calculated total energy (eV per atom) = -4.441
- crystal system = tetragonal

Cell: 4.9965 4.9965 5.1887 Å, 90.00 90.00 90.00°
With the nearest neighbours (Å) after each atom.
Space group P4/mmm (No. 123)
Inequivalent atoms, fractional coordinates:
Zr 0.0000 0.5000 0.0000  2 Sc 2.50
Sc 0.0000 0.0000 0.0000  4 Zr 2.50, 2 Cd 2.59
Cd 0.0000 0.0000 0.5000  2 Sc 2.59
C 0.5000 0.5000 0.5000  4 Cd 3.53, 8 Zr 3.60

Computed, not measured: a relaxed structure of ZrScCdC at the PBE level of DFT.

- M_tot (Bohr magnetons per cell) = 0.0
- V (Å³/cell) = 224
- formation energy from the elements (kJ/mol of formula units) = -183
- calculated total energy (eV per atom) = -6.730
- crystal system = trigonal

Cell: 3.3338 3.3338 23.2563 Å, 90.00 90.00 120.00°
With the nearest neighbours (Å) after each atom.
Space group R3m (No. 160, hexagonal axes)
Inequivalent atoms, fractional coordinates:
Zr 0.0000 0.0000 0.0000  3 C 2.28
Sc 0.0000 0.0000 0.2267  3 C 2.30
Cd 0.0000 0.0000 0.4449  3 Zr 3.23, 3 Sc 3.30, 6 Cd 3.33
C 0.0000 0.0000 0.6139  3 Zr 2.28, 3 Sc 2.30